BaP2WO8: relaxed, GGA+U.

The value obtained for the density of states at the Fermi level is 14.89 states/eV per cell. Its total energy is -7.27 eV per atom.

It has space group R32 (No. 155, hexagonal axes), with a = 4.9643 Å, b = 4.9643 Å, c = 24.1501 Å, α = 90.00°, β = 90.00° and γ = 120.00°. The distinct sites, in fractional coordinates, are Ba at (0.0000, 0.0000, 0.0000), P at (0.0000, 0.0000, 0.2429), W at (0.0000, 0.0000, 0.5000), O at (0.0000, 0.0000, 0.3062) and O at (0.0157, 0.3993, 0.8884).